## A
## HfTlFeAg (GGA-PBE)

Data for crystalline HfTlFeAg at its relaxed geometry.

Computed properties:
Symmetry: F-43m

Cell and atoms, written as POSCAR:
```
HfTlFeAg
1.0
0.000 3.316 3.316
3.316 0.000 3.316
3.316 3.316 0.000
Ag Fe Hf Tl
1 1 1 1
direct
0.250 0.250 0.250 Ag
0.750 0.750 0.750 Fe
0.500 0.500 0.500 Hf
0.000 0.000 0.000 Tl
```

## B
## HfTlFeAg (GGA-PBE)

Data for crystalline HfTlFeAg at its relaxed geometry.

Computed properties:
Symmetry: F-43m

Cell and atoms, written as POSCAR:
```
HfTlFeAg
1.0
0.000 3.298 3.298
3.298 0.000 3.298
3.298 3.298 0.000
Ag Fe Hf Tl
1 1 1 1
direct
0.500 0.500 0.500 Ag
0.750 0.750 0.750 Fe
0.250 0.250 0.250 Hf
0.000 0.000 0.000 Tl
```

Q: Which of them is the most stable? A: A.

## A
## FeSiAgHg (GGA-PBE)

Data for crystalline FeSiAgHg at its relaxed geometry.

Computed properties:
Symmetry: F-43m

Cell and atoms, written as POSCAR:
```
FeSiAgHg
1.0
0.000 3.207 3.207
3.207 0.000 3.207
3.207 3.207 0.000
Ag Fe Hg Si
1 1 1 1
direct
0.250 0.250 0.250 Ag
0.750 0.750 0.750 Fe
0.500 0.500 0.500 Hg
0.000 0.000 0.000 Si
```

## B
## FeSiAgHg (GGA-PBE)

Data for crystalline FeSiAgHg at its relaxed geometry.

Computed properties:
Symmetry: F-43m

Cell and atoms, written as POSCAR:
```
FeSiAgHg
1.0
0.000 3.224 3.224
3.224 0.000 3.224
3.224 3.224 0.000
Ag Fe Hg Si
1 1 1 1
direct
0.500 0.500 0.500 Ag
0.750 0.750 0.750 Fe
0.250 0.250 0.250 Hg
0.000 0.000 0.000 Si
```

Q: Which of them is the most stable? A: A.

## A
## ZnFeAgHg (GGA-PBE)

Data for crystalline ZnFeAgHg at its relaxed geometry.

Computed properties:
Symmetry: F-43m

Cell and atoms, written as POSCAR:
```
ZnFeAgHg
1.0
3.950 -0.534 2.227
0.444 1.563 4.267
0.276 -2.933 3.488
Ag Fe Hg Zn
1 1 1 1
direct
0.500 0.500 0.500 Ag
0.750 0.750 0.750 Fe
0.250 0.250 0.250 Hg
0.000 0.000 0.000 Zn
```

## B
## ZnFeAgHg (GGA-PBE)

Data for crystalline ZnFeAgHg at its relaxed geometry.

Computed properties:
Symmetry: F-43m

Cell and atoms, written as POSCAR:
```
ZnFeAgHg
1.0
0.000 3.224 3.224
3.224 0.000 3.224
3.224 3.224 0.000
Ag Fe Hg Zn
1 1 1 1
direct
0.250 0.250 0.250 Ag
0.750 0.750 0.750 Fe
0.500 0.500 0.500 Hg
0.000 0.000 0.000 Zn
```

Q: Which of them is the most stable? A: B.

## A
## LuInFeAg (GGA-PBE)

Data for crystalline LuInFeAg at its relaxed geometry.

Computed properties:
Symmetry: F-43m

Cell and atoms, written as POSCAR:
```
LuInFeAg
1.0
3.910 -1.873 -1.987
2.935 -2.710 2.606
0.252 -4.695 -0.802
Ag Fe In Lu
1 1 1 1
direct
0.250 0.250 0.250 Ag
0.750 0.750 0.750 Fe
0.000 0.000 0.000 In
0.500 0.500 0.500 Lu
```

## B
## LuInFeAg (GGA-PBE)

Data for crystalline LuInFeAg at its relaxed geometry.

Computed properties:
Symmetry: F-43m

Cell and atoms, written as POSCAR:
```
LuInFeAg
1.0
0.000 3.400 3.400
3.400 0.000 3.400
3.400 3.400 0.000
Ag Fe In Lu
1 1 1 1
direct
0.500 0.500 0.500 Ag
0.750 0.750 0.750 Fe
0.000 0.000 0.000 In
0.250 0.250 0.250 Lu
```

Q: Which of them is the most stable? A: A.

## A
## LiZnFeAg (GGA-PBE)

Data for crystalline LiZnFeAg at its relaxed geometry.

Computed properties:
Symmetry: F-43m

Cell and atoms, written as POSCAR:
```
LiZnFeAg
1.0
-3.038 -3.081 -0.210
-3.686 0.736 -2.154
-0.764 -2.037 -3.746
Ag Fe Li Zn
1 1 1 1
direct
0.500 0.500 0.500 Ag
0.750 0.750 0.750 Fe
0.250 0.250 0.250 Li
0.000 0.000 0.000 Zn
```

## B
## LiZnFeAg (GGA-PBE)

Data for crystalline LiZnFeAg at its relaxed geometry.

Computed properties:
Symmetry: F-43m

Cell and atoms, written as POSCAR:
```
LiZnFeAg
1.0
0.000 3.059 3.059
3.059 0.000 3.059
3.059 3.059 0.000
Ag Fe Li Zn
1 1 1 1
direct
0.250 0.250 0.250 Ag
0.750 0.750 0.750 Fe
0.500 0.500 0.500 Li
0.000 0.000 0.000 Zn
```

Q: Which of them is the most stable? A: A.

## A
## LuFeAgSb (GGA-PBE)

Data for crystalline LuFeAgSb at its relaxed geometry.

Computed properties:
Symmetry: F-43m

Cell and atoms, written as POSCAR:
```
LuFeAgSb
1.0
-3.626 -0.603 3.011
-4.003 -2.081 -1.489
-1.122 -4.357 1.526
Ag Fe Lu Sb
1 1 1 1
direct
0.250 0.250 0.250 Ag
0.750 0.750 0.750 Fe
0.500 0.500 0.500 Lu
0.000 0.000 0.000 Sb
```

## B
## LuFeAgSb (GGA-PBE)

Data for crystalline LuFeAgSb at its relaxed geometry.

Computed properties:
Symmetry: F-43m

Cell and atoms, written as POSCAR:
```
LuFeAgSb
1.0
1.300 -1.903 4.251
0.110 2.774 3.959
-3.298 -0.621 3.480
Ag Fe Lu Sb
1 1 1 1
direct
0.500 0.500 0.500 Ag
0.750 0.750 0.750 Fe
0.250 0.250 0.250 Lu
0.000 0.000 0.000 Sb
```

Q: Which of them is the most stable? A: B.